Below is NpCuAgTe3 after structural relaxation, with properties calculated at the GGA-PBE level.

DFT total energy	-62.1	eV/cell
density of states at the Fermi level	11.6	states/eV/f.u.
energy relative to the elements, uncorrected	-293	meV/atom

Cell lengths 8.8043, 4.1743, 9.3948 Å; angles 90.00, 101.14, 90.00 degrees
Space group P2_1/m (No. 11)
Inequivalent atoms, fractional coordinates:
Np1 0.2271 0.2500 0.1674
Cu1 0.4369 0.7500 0.9318
Ag1 0.2070 0.2500 0.5672
Te1 0.1104 0.7500 0.3656
Te2 0.1406 0.7500 0.9262
Te3 0.4866 0.2500 0.7712

=====

Below is CsNa2UTe4 after structural relaxation, with properties calculated at the GGA-PBE level.

DFT total energy	-64.9	eV/cell
density of states at the Fermi level	7.3	states/eV/f.u.
energy relative to the elements, uncorrected	-639	meV/atom

Cell lengths 8.4725, 8.4725, 9.7845 Å; angles 90.00, 90.00, 90.00 degrees
Space group I-42m (No. 121)
Inequivalent atoms, fractional coordinates:
Cs1 0.0000 0.0000 0.0000
Na1 0.0000 0.5000 0.2500
U1 0.0000 0.0000 0.5000
Te1 0.2027 0.2027 0.6569

=====

Below is CaFeTc4 after structural relaxation, with properties calculated at the GGA-PBE level.

DFT total energy	-197.1	eV/cell
density of states at the Fermi level	6.7	states/eV/f.u.
E_form	2.65	eV/f.u.

Cell lengths 7.4016, 7.4016, 7.4016 Å; angles 90.00, 90.00, 90.00 degrees
Space group F-43m (No. 216)
Inequivalent atoms, fractional coordinates:
Ca1 0.0000 0.0000 0.0000
Fe1 0.2500 0.2500 0.7500
Tc1 0.1244 0.1244 0.3756

=====

Below is MgIn2Si after structural relaxation, with properties calculated at the GGA-PBE level.

DFT total energy	-23.6	eV/cell
density of states at the Fermi level	1.3	states/eV/f.u.
energy relative to the elements, uncorrected	169	meV/atom
energy relative to the lowest polymorph listed for this composition	0.0532	eV/atom

Cell lengths 4.4229, 4.4229, 9.0905 Å; angles 90.00, 90.00, 90.00 degrees
Space group I-4m2 (No. 119)
Inequivalent atoms, fractional coordinates:
Mg1 0.0000 0.0000 0.0000
In1 0.0000 0.0000 0.5000
In2 0.0000 0.5000 0.2500
Si1 0.0000 0.5000 0.7500

=====

Below is Pr3Tc5S12 after structural relaxation, with properties calculated at the GGA-PBE level.

DFT total energy	-1060.0	eV/cell
density of states at the Fermi level	7.9	states/eV/f.u.
energy relative to the elements, uncorrected	-840	meV/atom

Cell lengths 15.0096, 15.0096, 15.0096 Å; angles 90.00, 90.00, 90.00 degrees
Space group Ia-3d (No. 230)
Inequivalent atoms, fractional coordinates:
Pr1 0.0000 0.2500 0.1250
Tc1 0.0000 0.0000 0.0000
Tc2 0.0000 0.2500 0.3750
S1 0.0340 0.0569 0.6455

=====

Below is LaZn6Pd12 after structural relaxation, with properties calculated at the GGA-PBE level.

DFT total energy	-247.0	eV/cell
density of states at the Fermi level	6.9	states/eV/f.u.
E_form	-7.46	eV/f.u.

Cell lengths 11.5678, 11.5678, 8.3416 Å; angles 90.00, 90.00, 120.00 degrees
Space group R-3m (No. 166, hexagonal axes)
Inequivalent atoms, fractional coordinates:
La1 0.0000 0.0000 0.0000
Zn1 0.0490 0.5245 0.2457
Pd1 0.0000 0.3814 0.5000
Pd2 0.0818 0.1636 0.3096

=====

Below is Rb2GeTeF6 after structural relaxation, with properties calculated at the GGA-PBE level.

DFT total energy	-85.6	eV/cell
density of states at the Fermi level	0.0	states/eV/f.u.
energy relative to the elements, uncorrected	-2187	meV/atom

Cell lengths 7.2872, 7.2872, 8.3815 Å; angles 90.00, 90.00, 90.00 degrees
Space group I4/mmm (No. 139)
Inequivalent atoms, fractional coordinates:
Rb1 0.0000 0.5000 0.2500
Ge1 0.0000 0.0000 0.0000
Te1 0.0000 0.0000 0.5000
F1 0.0000 0.0000 0.2261
F2 0.1760 0.1760 0.0000

=====

Below is PuInIrO6 after structural relaxation, with properties calculated at the GGA-PBE level.

DFT total energy	-139.8	eV/cell
density of states at the Fermi level	5.3	states/eV/f.u.
energy relative to the elements, uncorrected	-1583	meV/atom

Cell lengths 5.4284, 5.4284, 8.8489 Å; angles 90.00, 90.00, 120.00 degrees
Space group P-31c (No. 163)
Inequivalent atoms, fractional coordinates:
Pu1 0.3333 0.6667 0.2500
In1 0.3333 0.6667 0.7500
Ir1 0.0000 0.0000 0.0000
O1 0.0102 0.3231 0.1215